DFT (PBE) results for an optimized crystal structure of DySbN2O.

Output
**Uncorrected energy**: -6.656 eV/atom
**Theoretical density**: 8163 kg/m³

a b c (Å): 5.7363 5.7363 14.0605
angles (deg): 90.00 90.00 120.00
With the nearest neighbours (Å) after each atom.
Space group P6_3/mmc (No. 194)
Unique sites:
Dy: 0.0000 0.0000 0.2500 x2  6 N 2.57, 6 O 2.87
Dy: 0.3333 0.6667 0.1279 x4  3 O 2.37
Sb: 0.0000 0.0000 0.0000 x2  6 N 2.04
Sb: 0.3333 0.6667 0.6407 x4  3 N 1.92
N: 0.1486 0.2971 0.6001 x12  2 Sb 1.92-2.04
O: 0.0042 0.5021 0.2500 x6  2 Sb 2.27, 2 Dy 2.37